# 1
Material: Tb2Er4In
Method: DFT, PBE
State: relaxed

Computed properties:
- formation enthalpy at 0 K (eV per atom) = -0.008
- N(E_F) (states/eV/atom) = 1.59

abc: 6.516 6.200 10.610
angles: 90.00 90.00 90.00
Space group Pmna (No. 53)
Inequivalent atoms, fractional coordinates:
Tb  0.000  0.242  0.001 [4 per cell]
Er  0.000  0.001  0.327 [4 per cell]
Er  0.250  0.499  0.750 [4 per cell]
In  0.000  0.500  0.500 [2 per cell]


# 2
Material: Tb3ErIn2
Method: DFT, PBE
State: relaxed

Computed properties:
- formation enthalpy at 0 K (eV per atom) = -0.358
- N(E_F) (states/eV/atom) = 0.93

abc: 5.193 9.829 6.715
angles: 90.00 90.00 90.00
Space group Pmc2_1 (No. 26)
Inequivalent atoms, fractional coordinates:
Tb  0.000  0.035  0.000 [2 per cell]
Tb  0.000  0.322  0.346 [2 per cell]
Tb  0.500  0.182  0.723 [2 per cell]
Er  0.500  0.463  0.068 [2 per cell]
In  0.000  0.357  0.825 [2 per cell]
In  0.500  0.143  0.245 [2 per cell]


# 3
Material: Tb3Er12In
Method: DFT, PBE
State: relaxed

Computed properties:
- formation enthalpy at 0 K (eV per atom) = -0.044
- N(E_F) (states/eV/atom) = 1.17

abc: 4.918 4.918 19.927
angles: 90.00 90.00 90.00
Space group P4/mmm (No. 123)
Inequivalent atoms, fractional coordinates:
Tb  0.000  0.000  0.000 [1 per cell]
Tb  0.000  0.000  0.252 [2 per cell]
Er  0.000  0.500  0.127 [4 per cell]
Er  0.000  0.500  0.379 [4 per cell]
Er  0.500  0.500  0.000 [1 per cell]
Er  0.500  0.500  0.256 [2 per cell]
Er  0.500  0.500  0.500 [1 per cell]
In  0.000  0.000  0.500 [1 per cell]


# 4
Material: Tb5ErIn2
Method: DFT, PBE
State: relaxed

Computed properties:
- formation enthalpy at 0 K (eV per atom) = -0.159
- N(E_F) (states/eV/atom) = 1.41

abc: 3.538 10.617 12.678
angles: 90.00 90.00 90.00
Space group Immm (No. 71)
Inequivalent atoms, fractional coordinates:
Tb  0.000  0.000  0.000 [2 per cell]
Tb  0.000  0.273  0.366 [8 per cell]
Er  0.000  0.500  0.000 [2 per cell]
In  0.000  0.000  0.264 [4 per cell]